No. 1
First-principles (PBE-GGA) data for a geometry-optimized Nd2GeSb structure, as listed in Alexandria.

Properties
The value obtained for the energy above the most stable polymorph in this dataset is 52 meV per atom.

```
Nd2GeSb
1.0
-2.196 -3.411 1.668
5.230 -3.312 0.110
-0.993 4.334 7.556
Nd Ge Sb
4 2 2
direct
0.750 0.210 0.441
0.750 0.690 0.925
0.250 0.310 0.075
0.250 0.790 0.559
0.250 0.403 0.699
0.750 0.597 0.301
0.750 0.110 0.796
0.250 0.890 0.204
```

No. 2
First-principles (PBE-GGA) data for a geometry-optimized Nd5GeSb2 structure, as listed in Alexandria.

Properties
For the raw total energy, the calculation gives -5.12 eV per atom.

```
Nd5GeSb2
1.0
-3.964 2.670 3.923
-3.215 -3.360 -5.836
-0.806 -12.016 7.363
Ge Nd Sb
2 10 4
direct
0.223 0.445 0.250
0.777 0.555 0.750
0.351 0.703 0.422
0.649 0.297 0.922
0.299 0.598 0.750
0.649 0.297 0.578
0.701 0.402 0.250
0.946 0.893 0.878
0.351 0.703 0.078
0.054 0.107 0.378
0.054 0.107 0.122
0.946 0.893 0.622
0.829 0.658 0.068
0.829 0.658 0.432
0.171 0.342 0.568
0.171 0.342 0.932
```

No. 3
First-principles (PBE-GGA) data for a geometry-optimized Nd4GeSb structure, as listed in Alexandria.

Properties
For the raw total energy, the calculation gives -5.30 eV per atom.

```
Nd4GeSb
1.0
-3.334 3.056 4.440
-4.373 -7.010 -1.905
7.310 -1.543 3.751
Sb Nd Ge
2 8 2
direct
0.372 0.622 0.244
0.628 0.378 0.756
0.646 0.075 0.367
0.961 0.781 0.154
0.779 0.708 0.633
0.039 0.219 0.846
0.354 0.925 0.633
0.693 0.373 0.154
0.221 0.292 0.367
0.307 0.627 0.846
0.749 0.999 0.998
0.251 0.001 0.002
```

No. 4
First-principles (PBE-GGA) data for a geometry-optimized Nd2GeSb structure, as listed in Alexandria.

Properties
The value obtained for the energy above the most stable polymorph in this dataset is 0 meV per atom.

```
Nd2GeSb
1.0
-3.714 0.685 2.011
-1.595 -3.948 -1.601
5.028 -3.686 10.544
Ge Sb Nd
2 2 4
direct
0.250 0.460 0.920
0.750 0.540 0.080
0.750 0.811 0.622
0.250 0.189 0.378
0.750 0.680 0.360
0.750 0.939 0.878
0.250 0.320 0.640
0.250 0.061 0.122
```

No. 5
First-principles (PBE-GGA) data for a geometry-optimized Nd3GeSb structure, as listed in Alexandria.

Properties
For the raw total energy, the calculation gives -5.37 eV per atom.

```
Nd3GeSb
1.0
6.338 0.000 0.000
0.000 10.510 -0.616
0.000 -3.974 9.741
Ge Nd Sb
4 12 4
direct
0.750 0.595 0.905
0.250 0.405 0.095
0.250 0.905 0.595
0.750 0.095 0.405
0.250 0.070 0.430
0.750 0.379 0.621
0.250 0.570 0.930
0.000 0.250 0.250
0.250 0.121 0.879
0.750 0.930 0.570
0.750 0.430 0.070
0.500 0.750 0.750
0.750 0.879 0.121
0.500 0.250 0.250
0.250 0.621 0.379
0.000 0.750 0.750
0.250 0.926 0.074
0.250 0.426 0.574
0.750 0.074 0.926
0.750 0.574 0.426
```

No. 6
First-principles (PBE-GGA) data for a geometry-optimized Nd6GeSb5 structure, as listed in Alexandria.

Properties
For the raw total energy, the calculation gives -5.58 eV per atom.

```
Nd6GeSb5
1.0
7.673 0.189 1.167
1.886 6.522 3.802
0.128 0.073 7.773
Ge Sb Nd
1 5 6
direct
0.000 0.000 0.000
0.000 0.666 0.668
0.500 0.829 0.342
0.000 0.334 0.332
0.500 0.171 0.658
0.500 0.500 0.000
0.757 0.081 0.325
0.243 0.919 0.675
0.757 0.406 0.675
0.753 0.758 0.000
0.247 0.242 0.000
0.243 0.594 0.325
```

No. 7
First-principles (PBE-GGA) data for a geometry-optimized Nd7Ge2Sb2 structure, as listed in Alexandria.

Properties
For the raw total energy, the calculation gives -5.16 eV per atom.

```
Nd7Ge2Sb2
1.0
-4.658 5.320 -1.849
-2.910 -4.144 -4.592
-3.723 -3.311 5.347
Nd Sb Ge
7 2 2
direct
0.500 0.245 0.500
0.500 0.265 0.000
0.000 0.265 0.500
0.000 0.735 0.500
0.000 0.000 0.000
0.500 0.755 0.500
0.500 0.735 0.000
0.802 0.500 0.802
0.198 0.500 0.198
0.271 0.000 0.729
0.729 0.000 0.271
```

No. 8
First-principles (PBE-GGA) data for a geometry-optimized Nd2Sc2GeSb2 structure, as listed in Alexandria.

Properties
For the raw total energy, the calculation gives -5.77 eV per atom.

```
Nd2Sc2GeSb2
1.0
4.922 0.000 0.000
0.000 4.922 0.000
-2.461 -2.461 8.211
Sb Nd Ge Sc
2 2 1 2
direct
0.630 0.630 0.259
0.370 0.370 0.741
0.826 0.826 0.653
0.174 0.174 0.347
0.000 0.000 0.000
0.500 0.000 0.000
0.000 0.500 0.000
```

No. 9
First-principles (PBE-GGA) data for a geometry-optimized Nd6GeSb2Se3 structure, as listed in Alexandria.

Properties
For the raw total energy, the calculation gives -5.81 eV per atom.

```
Nd6GeSb2Se3
1.0
-1.843 3.494 1.847
0.717 -3.756 7.821
9.095 2.993 -1.733
Nd Sb Se Ge
6 2 3 1
direct
0.337 0.411 0.674
0.998 0.238 0.996
0.663 0.589 0.326
0.661 0.074 0.322
0.339 0.926 0.678
0.002 0.762 0.004
0.167 0.334 0.334
0.833 0.666 0.666
0.168 0.834 0.337
0.500 0.500 0.000
0.832 0.166 0.663
0.500 0.000 0.000
```

No. 10
First-principles (PBE-GGA) data for a geometry-optimized Nd6Ge2SbSe3 structure, as listed in Alexandria.

Properties
For the raw total energy, the calculation gives -5.82 eV per atom.

```
Nd6Ge2SbSe3
1.0
4.323 0.000 0.000
0.000 8.654 0.342
-2.162 -2.463 9.077
Nd Se Ge Sb
6 3 2 1
direct
0.670 0.096 0.340
0.330 0.904 0.660
0.004 0.259 0.009
0.670 0.578 0.339
0.996 0.741 0.991
0.330 0.422 0.661
0.165 0.834 0.330
0.500 0.500 0.000
0.835 0.166 0.670
0.167 0.334 0.334
0.833 0.666 0.666
0.500 0.000 0.000
```

No. 11
First-principles (PBE-GGA) data for a geometry-optimized Nd4GeSb2Te structure, as listed in Alexandria.

Properties
For the raw total energy, the calculation gives -5.57 eV per atom.

```
Nd4GeSb2Te
1.0
-1.730 -3.920 -1.212
6.933 -2.266 -2.569
3.847 -3.482 5.771
Ge Nd Sb Te
1 4 2 1
direct
0.000 0.500 0.500
0.500 0.259 0.738
0.500 0.741 0.262
0.000 0.252 0.262
0.000 0.748 0.738
0.000 0.000 0.000
0.500 0.000 0.500
0.500 0.500 0.000
```

No. 12
First-principles (PBE-GGA) data for a geometry-optimized Nd4GeSbTe2 structure, as listed in Alexandria.

Properties
For the raw total energy, the calculation gives -5.56 eV per atom.

```
Nd4GeSbTe2
1.0
-4.160 1.572 0.227
-0.957 -1.437 -7.584
-2.760 -7.173 -0.905
Ge Sb Te Nd
1 1 2 4
direct
0.000 0.500 0.500
0.500 0.500 0.000
0.000 0.000 0.000
0.500 0.000 0.500
0.000 0.267 0.256
0.500 0.728 0.267
0.500 0.272 0.733
0.000 0.733 0.744
```